A | ## Nd6Ru2Pt (PBE-GGA)

Data for a relaxed structure of Nd6Ru2Pt.

Cell: 12.6078 4.5332 9.9623 Å, 90.00 110.95 90.00°
Space group C2/m (No. 12)
One atom of each set of equivalent atoms:
Nd  0.0538  0.0000  0.3084 (multiplicity 4)
Nd  0.1525  0.5000  0.6250 (multiplicity 4)
Nd  0.1592  0.5000  0.0769 (multiplicity 4)
Ru  0.2126  0.5000  0.3779 (multiplicity 4)
Pt  0.0000  0.0000  0.0000 (multiplicity 2)

Results
D(E_F)	9.3	states/eV/f.u.
magnetic moment	0.000	μB/f.u.

***

B | ## Nd6Ru2Pt (PBE-GGA)

Data for a relaxed structure of Nd6Ru2Pt.

Cell: 9.7543 9.7579 10.2184 Å, 90.00 90.00 90.00°
Space group Immm (No. 71)
One atom of each set of equivalent atoms:
Nd  0.0000  0.1854  0.1707 (multiplicity 8)
Nd  0.1779  0.2299  0.5000 (multiplicity 8)
Nd  0.1870  0.5000  0.2504 (multiplicity 8)
Ru  0.0000  0.0000  0.3782 (multiplicity 4)
Ru  0.1756  0.0000  0.0000 (multiplicity 4)
Pt  0.0000  0.5000  0.0000 (multiplicity 2)
Pt  0.0000  0.5000  0.5000 (multiplicity 2)

Results
D(E_F)	7.8	states/eV/f.u.
magnetic moment	0.000	μB/f.u.

***

On energetic grounds, B is preferred over the next structure by 2.9 kJ/mol of atoms.

***

A | ## Nd8RuPt2 (PBE-GGA)

Data for a relaxed structure of Nd8RuPt2.

Cell: 8.6109 12.8564 6.4372 Å, 90.00 111.50 90.00°
Space group Cm (No. 8)
One atom of each set of equivalent atoms:
Nd  0.0000  0.0000  0.0000 (multiplicity 2)
Nd  0.0671  0.3702  0.8185 (multiplicity 4)
Nd  0.1402  0.1309  0.5826 (multiplicity 4)
Nd  0.2077  0.5000  0.3743 (multiplicity 2)
Nd  0.3567  0.1987  0.1884 (multiplicity 4)
Ru  0.3505  0.0000  0.0042 (multiplicity 2)
Pt  0.3504  0.3153  0.6889 (multiplicity 4)

Results
D(E_F)	11.2	states/eV/f.u.
magnetic moment	0.000	μB/f.u.

***

B | ## Nd8RuPt2 (PBE-GGA)

Data for a relaxed structure of Nd8RuPt2.

Cell: 17.7955 5.0946 7.0302 Å, 90.00 98.73 90.00°
Space group C2/m (No. 12)
One atom of each set of equivalent atoms:
Nd  0.0322  0.0000  0.2823 (multiplicity 4)
Nd  0.0876  0.5000  0.9397 (multiplicity 4)
Nd  0.1618  0.5000  0.4669 (multiplicity 4)
Nd  0.2040  0.0000  0.8323 (multiplicity 4)
Ru  0.0000  0.5000  0.5000 (multiplicity 2)
Pt  0.2015  0.0000  0.2397 (multiplicity 4)

Results
D(E_F)	11.6	states/eV/f.u.
magnetic moment	0.000	μB/f.u.

***

On energetic grounds, B is preferred over the next structure by 6.5 kJ/mol of atoms.

***

A | ## Nd2PtS (PBE-GGA)

Data for a relaxed structure of Nd2PtS.

Cell: 4.0741 4.0741 21.5081 Å, 90.00 90.00 120.00°
Space group R-3m (No. 166, hexagonal axes)
One atom of each set of equivalent atoms:
Nd  0.0000  0.0000  0.2483 (multiplicity 6)
Pt  0.0000  0.0000  0.5000 (multiplicity 3)
S  0.0000  0.0000  0.0000 (multiplicity 3)

Results
D(E_F)	2.9	states/eV/f.u.
magnetic moment	0.000	μB/f.u.

***

B | ## Nd2PtS (PBE-GGA)

Data for a relaxed structure of Nd2PtS.

Cell: 3.9702 23.1943 4.2496 Å, 90.00 90.00 90.00°
Space group Cmcm (No. 63)
One atom of each set of equivalent atoms:
Nd  0.0000  0.0662  0.2500 (multiplicity 4)
Nd  0.0000  0.3139  0.2500 (multiplicity 4)
Pt  0.0000  0.4542  0.2500 (multiplicity 4)
S  0.0000  0.1904  0.2500 (multiplicity 4)

Results
D(E_F)	2.6	states/eV/f.u.
magnetic moment	0.000	μB/f.u.

***

On energetic grounds, B is preferred over the next structure by 6.5 kJ/mol of atoms.

***

A | ## NdSiPt4 (PBE-GGA)

Data for a relaxed structure of NdSiPt4.

Cell: 7.7529 3.9172 7.0037 Å, 90.00 90.00 90.00°
Space group Pmma (No. 51)
One atom of each set of equivalent atoms:
Nd  0.2500  0.0000  0.1277 (multiplicity 2)
Si  0.2500  0.0000  0.7048 (multiplicity 2)
Pt  0.0000  0.0000  0.5000 (multiplicity 2)
Pt  0.0599  0.5000  0.8070 (multiplicity 4)
Pt  0.2500  0.5000  0.4545 (multiplicity 2)

Results
D(E_F)	1.4	states/eV/f.u.
magnetic moment	0.000	μB/f.u.

***

B | ## NdSiPt4 (PBE-GGA)

Data for a relaxed structure of NdSiPt4.

Cell: 3.9938 15.5791 6.7976 Å, 90.00 90.00 90.00°
Space group Cmcm (No. 63)
One atom of each set of equivalent atoms:
Nd  0.0000  0.1029  0.2500 (multiplicity 4)
Si  0.0000  0.2366  0.7500 (multiplicity 4)
Pt  0.0000  0.0841  0.7500 (multiplicity 4)
Pt  0.0000  0.3155  0.0465 (multiplicity 8)
Pt  0.0000  0.5000  0.0000 (multiplicity 4)

Results
D(E_F)	1.9	states/eV/f.u.
magnetic moment	0.000	μB/f.u.

***

On energetic grounds, B is preferred over the next structure by 4.8 kJ/mol of atoms.

***

A | ## NdSi2Pt4 (PBE-GGA)

Data for a relaxed structure of NdSi2Pt4.

Cell: 4.1429 14.0221 4.1435 Å, 90.00 90.00 90.00°
Space group Cmmm (No. 65)
One atom of each set of equivalent atoms:
Nd  0.0000  0.0000  0.0000 (multiplicity 2)
Si  0.0000  0.4137  0.5000 (multiplicity 4)
Pt  0.0000  0.1752  0.5000 (multiplicity 4)
Pt  0.0000  0.3273  0.0000 (multiplicity 4)

Results
D(E_F)	4.7	states/eV/f.u.
magnetic moment	0.000	μB/f.u.

***

B | ## NdSi2Pt4 (PBE-GGA)

Data for a relaxed structure of NdSi2Pt4.

Cell: 19.0647 4.0446 6.3971 Å, 90.00 90.00 90.00°
Space group Pnma (No. 62)
One atom of each set of equivalent atoms:
Nd  0.1367  0.2500  0.0102 (multiplicity 4)
Si  0.0416  0.7500  0.2644 (multiplicity 4)
Si  0.1983  0.2500  0.5768 (multiplicity 4)
Pt  0.0192  0.7500  0.8514 (multiplicity 4)
Pt  0.0673  0.2500  0.5354 (multiplicity 4)
Pt  0.1612  0.7500  0.3738 (multiplicity 4)
Pt  0.2342  0.7500  0.7615 (multiplicity 4)

Results
D(E_F)	3.2	states/eV/f.u.
magnetic moment	0.000	μB/f.u.

***

On energetic grounds, B is preferred over the next structure by 1.7 kJ/mol of atoms.

***

A | ## Nd3Si4Pt2 (PBE-GGA)

Data for a relaxed structure of Nd3Si4Pt2.

Cell: 11.0667 4.2230 8.5206 Å, 90.00 110.10 90.00°
Space group C2/m (No. 12)
One atom of each set of equivalent atoms:
Nd  0.0000  0.0000  0.0000 (multiplicity 2)
Nd  0.1138  0.5000  0.6868 (multiplicity 4)
Si  0.1311  0.0000  0.4214 (multiplicity 4)
Si  0.2287  0.5000  0.0622 (multiplicity 4)
Pt  0.1689  0.5000  0.3093 (multiplicity 4)

Results
D(E_F)	4.6	states/eV/f.u.
magnetic moment	0.000	μB/f.u.

***

B | ## Nd3Si4Pt2 (PBE-GGA)

Data for a relaxed structure of Nd3Si4Pt2.

Cell: 11.2116 4.1510 8.3669 Å, 90.00 99.96 90.00°
Space group C2/m (No. 12)
One atom of each set of equivalent atoms:
Nd  0.0000  0.0000  0.0000 (multiplicity 2)
Nd  0.1654  0.5000  0.6650 (multiplicity 4)
Si  0.0530  0.0000  0.3878 (multiplicity 4)
Si  0.2248  0.5000  0.0636 (multiplicity 4)
Pt  0.1078  0.5000  0.2770 (multiplicity 4)

Results
D(E_F)	4.6	states/eV/f.u.
magnetic moment	0.000	μB/f.u.

***

On energetic grounds, B is preferred over the next structure by 6.8 kJ/mol of atoms.

***

A | ## Nd2SmPt (PBE-GGA)

Data for a relaxed structure of Nd2SmPt.

Cell: 3.8129 3.8129 32.3679 Å, 90.00 90.00 120.00°
Space group R-3m (No. 166, hexagonal axes)
One atom of each set of equivalent atoms:
Nd  0.0000  0.0000  0.1093 (multiplicity 6)
Sm  0.0000  0.0000  0.0000 (multiplicity 3)
Pt  0.0000  0.0000  0.5000 (multiplicity 3)

Results
D(E_F)	6.1	states/eV/f.u.
magnetic moment	0.424	μB/f.u.

***

B | ## Nd2SmPt (PBE-GGA)

Data for a relaxed structure of Nd2SmPt.

Cell: 7.2304 10.0642 6.6319 Å, 90.00 90.00 90.00°
Space group Pnma (No. 62)
One atom of each set of equivalent atoms:
Nd  0.1794  0.0618  0.1736 (multiplicity 8)
Sm  0.0282  0.2500  0.6422 (multiplicity 4)
Pt  0.1170  0.7500  0.9408 (multiplicity 4)

Results
D(E_F)	3.9	states/eV/f.u.
magnetic moment	0.000	μB/f.u.

***

On energetic grounds, B is preferred over the next structure by 36.5 kJ/mol of atoms.

***

A | ## Nd2SmPt (PBE-GGA)

Data for a relaxed structure of Nd2SmPt.

Cell: 4.0179 4.0179 28.0258 Å, 90.00 90.00 120.00°
Space group R3m (No. 160, hexagonal axes)
One atom of each set of equivalent atoms:
Nd  0.0000  0.0000  0.0000 (multiplicity 3)
Nd  0.0000  0.0000  0.2099 (multiplicity 3)
Sm  0.0000  0.0000  0.4391 (multiplicity 3)
Pt  0.0000  0.0000  0.6044 (multiplicity 3)

Results
D(E_F)	4.7	states/eV/f.u.
magnetic moment	0.000	μB/f.u.

***

B | ## Nd2SmPt (PBE-GGA)

Data for a relaxed structure of Nd2SmPt.

Cell: 3.6871 3.6871 8.6731 Å, 90.00 90.00 90.00°
Space group P4/mmm (No. 123)
One atom of each set of equivalent atoms:
Nd  0.0000  0.0000  0.1953 (multiplicity 2)
Sm  0.5000  0.5000  0.5000 (multiplicity 1)
Pt  0.5000  0.5000  0.0000 (multiplicity 1)

Results
D(E_F)	6.4	states/eV/f.u.
magnetic moment	0.002	μB/f.u.

***

On energetic grounds, B is preferred over the next structure by 2.9 kJ/mol of atoms.

***

A | ## Nd2Sn3Pt (PBE-GGA)

Data for a relaxed structure of Nd2Sn3Pt.

Cell: 4.1531 4.8286 7.9793 Å, 90.00 90.00 90.00°
Space group Pmm2 (No. 25)
One atom of each set of equivalent atoms:
Nd  0.0000  0.0000  0.0000 (multiplicity 1)
Nd  0.0000  0.5000  0.4845 (multiplicity 1)
Sn  0.5000  0.0000  0.6340 (multiplicity 1)
Sn  0.5000  0.5000  0.1707 (multiplicity 1)
Sn  0.5000  0.5000  0.8178 (multiplicity 1)
Pt  0.5000  0.0000  0.3041 (multiplicity 1)

Results
D(E_F)	3.6	states/eV/f.u.
magnetic moment	0.000	μB/f.u.

***

B | ## Nd2Sn3Pt (PBE-GGA)

Data for a relaxed structure of Nd2Sn3Pt.

Cell: 11.4677 4.6863 7.4469 Å, 90.00 129.46 90.00°
Space group Cm (No. 8)
One atom of each set of equivalent atoms:
Nd  0.0000  0.0000  0.0000 (multiplicity 2)
Nd  0.1281  0.0000  0.6171 (multiplicity 2)
Sn  0.2241  0.5000  0.3952 (multiplicity 2)
Sn  0.3847  0.0000  0.1949 (multiplicity 2)
Sn  0.4429  0.0000  0.6635 (multiplicity 2)
Pt  0.2393  0.5000  0.0365 (multiplicity 2)

Results
D(E_F)	3.5	states/eV/f.u.
magnetic moment	0.000	μB/f.u.

***

On energetic grounds, B is preferred over the next structure by 6.9 kJ/mol of atoms.

***

A | ## Nd4SnPt (PBE-GGA)

Data for a relaxed structure of Nd4SnPt.

Cell: 5.6007 21.0277 6.5203 Å, 90.00 90.00 90.00°
Space group Cmcm (No. 63)
One atom of each set of equivalent atoms:
Nd  0.0000  0.0523  0.2500 (multiplicity 4)
Nd  0.0000  0.2005  0.0042 (multiplicity 8)
Nd  0.0000  0.3966  0.2500 (multiplicity 4)
Sn  0.0000  0.3459  0.7500 (multiplicity 4)
Pt  0.0000  0.0816  0.7500 (multiplicity 4)

Results
D(E_F)	7.4	states/eV/f.u.
magnetic moment	0.000	μB/f.u.

***

B | ## Nd4SnPt (PBE-GGA)

Data for a relaxed structure of Nd4SnPt.

Cell: 6.3130 6.9796 8.9352 Å, 90.00 110.55 90.00°
Space group P2_1/m (No. 11)
One atom of each set of equivalent atoms:
Nd  0.0127  0.0021  0.2218 (multiplicity 4)
Nd  0.3960  0.2500  0.6188 (multiplicity 2)
Nd  0.4225  0.2500  0.0864 (multiplicity 2)
Sn  0.2238  0.7500  0.5546 (multiplicity 2)
Pt  0.2450  0.7500  0.0622 (multiplicity 2)

Results
D(E_F)	6.1	states/eV/f.u.
magnetic moment	0.000	μB/f.u.

***

On energetic grounds, B is preferred over the next structure by 8.4 kJ/mol of atoms.